# PBE-GGA PrReAg2O6, relaxed
# Crystal system   trigonal
# Uncorrected energy   -6.7848 eV per atom
# E_form (uncorrected)   -15.2 eV per formula unit
data_PrReAg2O6
_cell_length_a 5.7745
_cell_length_b 5.7745
_cell_length_c 14.7825
_cell_angle_alpha 90.00
_cell_angle_beta 90.00
_cell_angle_gamma 120.00
_space_group_name_H-M_alt 'R -3'
_space_group_IT_number 148
_space_group_name_Hall '-R 3'
loop_
_atom_site_label
_atom_site_fract_x
_atom_site_fract_y
_atom_site_fract_z
_atom_site_occupancy
Pr1 0.0000 0.0000 0.0000 1
Re1 0.0000 0.0000 0.5000 1
Ag1 0.0000 0.0000 0.2575 1
O1 0.0388 0.2868 0.5748 1



# PBE-GGA Ba3YEr3Se8, relaxed
# Crystal system   trigonal
# Uncorrected energy   -5.5021 eV per atom
# E_form (uncorrected)   -28.7 eV per formula unit
data_Ba3YEr3Se8
_cell_length_a 8.3766
_cell_length_b 8.3766
_cell_length_c 22.5626
_cell_angle_alpha 90.00
_cell_angle_beta 90.00
_cell_angle_gamma 120.00
_space_group_name_H-M_alt 'R -3 m'
_space_group_IT_number 166
_space_group_name_Hall '-R 3 2"'
loop_
_atom_site_label
_atom_site_fract_x
_atom_site_fract_y
_atom_site_fract_z
_atom_site_occupancy
Ba1 0.0000 0.5000 0.0000 1
Y1 0.0000 0.0000 0.5000 1
Er1 0.0000 0.5000 0.5000 1
Se1 0.0000 0.0000 0.2367 1
Se2 0.0049 0.5025 0.7633 1